Entry A
Compound: La4TbHo2
Source: Alexandria
Functional: PBE
Structure: relaxed

The structure in POSCAR format:
```
La4TbHo2
1.0
0.000 12.320 3.269
6.058 0.000 3.269
6.058 12.320 0.000
La Tb Ho
8 2 4
Direct
0.025 0.975 0.118
0.132 0.368 0.225
0.368 0.132 0.275
0.457 0.606 0.255
0.567 0.995 0.644
0.606 0.457 0.683
0.975 0.025 0.882
0.995 0.567 0.793
0.500 0.500 0.500
0.750 0.750 0.750
0.061 0.539 0.004
0.246 0.854 0.189
0.539 0.061 0.396
0.854 0.246 0.711
```

N(E_F) = 1.73 states/eV per atom

=====

Entry B
Compound: La4TbHo2
Source: Alexandria
Functional: PBE
Structure: relaxed

The structure in POSCAR format:
```
La4TbHo2
1.0
-3.485 5.797 6.073
3.485 -5.797 6.073
3.485 5.797 -6.073
La Tb Ho
8 2 4
Direct
0.154 0.153 0.001
0.243 0.210 0.468
0.243 0.775 0.032
0.348 0.847 0.501
0.652 0.153 0.499
0.757 0.225 0.968
0.757 0.790 0.532
0.846 0.847 0.999
0.500 0.000 0.000
0.500 0.500 0.500
0.000 0.500 0.500
0.035 0.285 0.750
0.500 0.500 0.000
0.965 0.715 0.250
```

N(E_F) = 1.45 states/eV per atom

=====

Stability summary: most stable entry A, least stable entry B.

=====

Entry A
Compound: La2TbHo6
Source: Alexandria
Functional: PBE
Structure: relaxed

The structure in POSCAR format:
```
La2TbHo6
1.0
-4.914 8.508 3.488
4.914 -8.508 3.488
4.914 8.508 -3.488
La Tb Ho
4 2 12
Direct
0.083 0.250 0.833
0.417 0.250 0.167
0.583 0.750 0.833
0.917 0.750 0.167
0.250 0.750 0.500
0.750 0.250 0.500
0.000 0.169 0.169
0.000 0.831 0.831
0.165 0.335 0.499
0.166 0.665 0.831
0.334 0.165 0.500
0.335 0.835 0.170
0.500 0.331 0.830
0.500 0.669 0.170
0.665 0.165 0.830
0.666 0.835 0.500
0.834 0.335 0.169
0.835 0.665 0.501
```

N(E_F) = 1.64 states/eV per atom

=====

Entry B
Compound: La2TbHo6
Source: Alexandria
Functional: PBE
Structure: relaxed

The structure in POSCAR format:
```
La2TbHo6
1.0
6.619 -3.815 0.000
6.619 3.815 0.000
-0.010 0.000 5.980
La Tb Ho
2 1 6
Direct
0.166 0.166 0.214
0.834 0.834 0.786
0.500 0.500 0.000
0.124 0.688 0.295
0.312 0.312 0.706
0.312 0.876 0.705
0.688 0.124 0.295
0.688 0.688 0.294
0.876 0.312 0.705
```

N(E_F) = 1.19 states/eV per atom

=====

Stability summary: most stable entry A, least stable entry B.

=====

Entry A
Compound: La2Tb8Ho
Source: Alexandria
Functional: PBE
Structure: relaxed

The structure in POSCAR format:
```
La2Tb8Ho
1.0
9.454 -3.539 0.000
9.454 3.539 0.000
-0.258 0.000 5.646
La Tb Ho
2 8 1
Direct
0.216 0.216 0.257
0.784 0.784 0.743
0.044 0.044 0.236
0.106 0.640 0.264
0.317 0.317 0.768
0.360 0.894 0.736
0.640 0.106 0.264
0.683 0.683 0.232
0.894 0.360 0.736
0.956 0.956 0.764
0.500 0.500 0.000
```

N(E_F) = 1.54 states/eV per atom

=====

Entry B
Compound: La2Tb8Ho
Source: Alexandria
Functional: PBE
Structure: relaxed

The structure in POSCAR format:
```
La2Tb8Ho
1.0
9.159 -2.544 0.000
9.159 2.544 0.000
-2.121 0.000 7.751
La Tb Ho
2 8 1
Direct
0.227 0.227 0.137
0.773 0.773 0.863
0.044 0.044 0.228
0.134 0.134 0.675
0.319 0.319 0.593
0.411 0.411 0.048
0.589 0.589 0.952
0.681 0.681 0.407
0.866 0.866 0.325
0.956 0.956 0.772
0.500 0.500 0.500
```

N(E_F) = 1.55 states/eV per atom

=====

Stability summary: most stable entry B, least stable entry A.

=====

Entry A
Compound: LaTb6Ho4
Source: Alexandria
Functional: PBE
Structure: relaxed

The structure in POSCAR format:
```
LaTb6Ho4
1.0
2.884 -4.811 0.000
2.884 4.811 0.000
0.000 0.000 25.717
La Tb Ho
2 12 8
Direct
0.199 0.801 0.750
0.801 0.199 0.250
0.131 0.869 0.180
0.131 0.869 0.320
0.199 0.801 0.600
0.199 0.801 0.900
0.465 0.535 0.250
0.500 0.500 0.000
0.500 0.500 0.500
0.535 0.465 0.750
0.801 0.199 0.100
0.801 0.199 0.400
0.869 0.131 0.680
0.869 0.131 0.820
0.153 0.847 0.042
0.153 0.847 0.458
0.459 0.541 0.122
0.459 0.541 0.378
0.541 0.459 0.622
0.541 0.459 0.878
0.847 0.153 0.542
0.847 0.153 0.958
```

N(E_F) = 1.89 states/eV per atom

=====

Entry B
Compound: LaTb6Ho4
Source: Alexandria
Functional: PBE
Structure: relaxed

The structure in POSCAR format:
```
LaTb6Ho4
1.0
-3.836 3.836 6.522
3.836 -3.836 6.522
3.836 3.836 -6.522
La Tb Ho
1 6 4
Direct
0.000 0.000 0.000
0.000 0.500 0.500
0.059 0.566 0.000
0.434 0.434 0.493
0.500 0.000 0.500
0.566 0.059 0.000
0.941 0.941 0.507
0.261 0.261 0.674
0.414 0.739 0.000
0.586 0.586 0.326
0.739 0.414 0.000
```

N(E_F) = 1.41 states/eV per atom

=====

Stability summary: most stable entry A, least stable entry B.

=====

Entry A
Compound: La4Tb5Ho2
Source: Alexandria
Functional: PBE
Structure: relaxed

The structure in POSCAR format:
```
La4Tb5Ho2
1.0
8.904 -1.780 0.000
8.904 1.780 0.000
-0.858 0.000 11.725
La Tb Ho
4 5 2
Direct
0.038 0.038 0.262
0.359 0.359 0.205
0.641 0.641 0.795
0.962 0.962 0.738
0.098 0.098 0.539
0.179 0.179 0.072
0.500 0.500 0.000
0.821 0.821 0.928
0.902 0.902 0.461
0.284 0.284 0.642
0.716 0.716 0.358
```

N(E_F) = 1.65 states/eV per atom

=====

Entry B
Compound: La4Tb5Ho2
Source: Alexandria
Functional: PBE
Structure: relaxed

The structure in POSCAR format:
```
La4Tb5Ho2
1.0
-1.760 4.684 11.478
1.760 -4.684 11.478
1.760 4.684 -11.478
La Tb Ho
4 5 2
Direct
0.094 0.094 0.000
0.211 0.500 0.711
0.789 0.500 0.289
0.906 0.906 0.000
0.151 0.350 0.801
0.451 0.650 0.801
0.500 0.000 0.500
0.549 0.350 0.199
0.849 0.650 0.199
0.229 0.229 0.000
0.771 0.771 0.000
```

N(E_F) = 1.45 states/eV per atom

=====

Stability summary: most stable entry A, least stable entry B.

=====

Entry A
Compound: La4TbHo
Source: Alexandria
Functional: PBE
Structure: relaxed

The structure in POSCAR format:
```
La4TbHo
1.0
5.711 -3.051 0.000
5.711 3.051 0.000
-0.004 0.000 6.081
La Tb Ho
4 1 1
Direct
0.156 0.156 0.001
0.343 0.343 0.501
0.657 0.657 0.499
0.844 0.844 0.999
0.500 0.500 0.000
0.000 0.000 0.500
```

N(E_F) = 1.97 states/eV per atom

=====

Entry B
Compound: La4TbHo
Source: Alexandria
Functional: PBE
Structure: relaxed

The structure in POSCAR format:
```
La4TbHo
1.0
7.125 0.000 0.000
0.000 10.135 0.000
-0.010 0.000 5.824
La Tb Ho
8 2 2
Direct
0.248 0.182 0.001
0.248 0.318 0.501
0.249 0.652 0.500
0.249 0.848 0.000
0.751 0.152 0.000
0.751 0.348 0.500
0.752 0.682 0.499
0.752 0.818 0.999
0.500 0.000 0.500
0.500 0.500 0.000
0.000 0.000 0.500
0.000 0.500 0.000
```

N(E_F) = 1.60 states/eV per atom

=====

Stability summary: most stable entry B, least stable entry A.

=====

Entry A
Compound: LaTbHo2
Source: Alexandria
Functional: PBE
Structure: relaxed

The structure in POSCAR format:
```
LaTbHo2
1.0
0.000 4.051 4.051
4.051 0.000 4.051
4.051 4.051 0.000
La Tb Ho
1 1 2
Direct
0.000 0.000 0.000
0.500 0.500 0.500
0.250 0.250 0.250
0.750 0.750 0.750
```

N(E_F) = 1.85 states/eV per atom

=====

Entry B
Compound: LaTbHo2
Source: Alexandria
Functional: PBE
Structure: relaxed

The structure in POSCAR format:
```
LaTbHo2
1.0
5.023 -5.108 0.000
5.023 5.108 0.000
0.000 0.000 5.106
La Tb Ho
2 2 4
Direct
0.128 0.872 0.750
0.872 0.128 0.250
0.378 0.622 0.250
0.622 0.378 0.750
0.126 0.376 0.750
0.376 0.126 0.250
0.624 0.874 0.750
0.874 0.624 0.250
```

N(E_F) = 1.53 states/eV per atom

=====

Entry C
Compound: LaTbHo2
Source: Alexandria
Functional: PBE
Structure: relaxed

The structure in POSCAR format:
```
LaTbHo2
1.0
5.092 0.000 0.000
0.000 5.092 0.000
0.000 0.000 5.060
La Tb Ho
1 1 2
Direct
0.000 0.000 0.000
0.500 0.500 0.000
0.000 0.500 0.500
0.500 0.000 0.500
```

N(E_F) = 1.65 states/eV per atom

=====

Entry D
Compound: LaTbHo2
Source: Alexandria
Functional: PBE
Structure: relaxed

The structure in POSCAR format:
```
LaTbHo2
1.0
1.797 1.038 11.647
-1.797 1.038 11.647
0.000 -2.075 11.647
La Tb Ho
1 1 2
Direct
0.000 0.000 0.000
0.500 0.500 0.500
0.248 0.248 0.248
0.752 0.752 0.752
```

N(E_F) = 1.31 states/eV per atom

=====

Stability summary: most stable entry D, least stable entry A.

=====

Entry A
Compound: LaTbHo2
Source: Alexandria
Functional: PBE
Structure: relaxed

The structure in POSCAR format:
```
LaTbHo2
1.0
10.192 0.000 0.000
0.000 5.093 0.000
0.000 0.000 10.084
La Tb Ho
4 4 8
Direct
0.127 0.250 0.000
0.373 0.750 0.500
0.627 0.250 0.500
0.873 0.750 0.000
0.125 0.750 0.252
0.375 0.250 0.752
0.625 0.750 0.248
0.875 0.250 0.748
0.121 0.250 0.500
0.125 0.750 0.748
0.375 0.250 0.248
0.379 0.750 0.000
0.621 0.250 0.000
0.625 0.750 0.752
0.875 0.250 0.252
0.879 0.750 0.500
```

N(E_F) = 1.59 states/eV per atom

=====

Entry B
Compound: LaTbHo2
Source: Alexandria
Functional: PBE
Structure: relaxed

The structure in POSCAR format:
```
LaTbHo2
1.0
1.807 1.043 11.584
-1.807 1.043 11.584
0.000 -2.086 11.584
La Tb Ho
1 1 2
Direct
0.000 0.000 0.000
0.166 0.166 0.166
0.418 0.418 0.418
0.581 0.581 0.581
```

N(E_F) = 1.60 states/eV per atom

=====

Stability summary: most stable entry B, least stable entry A.

=====

Entry A
Compound: LaTb5Ho4
Source: Alexandria
Functional: PBE
Structure: relaxed

The structure in POSCAR format:
```
LaTb5Ho4
1.0
8.631 -1.775 0.000
8.631 1.775 0.000
-0.027 0.000 10.919
La Tb Ho
1 5 4
Direct
0.000 0.000 0.000
0.000 0.000 0.500
0.325 0.325 0.056
0.326 0.326 0.448
0.674 0.674 0.552
0.675 0.675 0.944
0.151 0.151 0.250
0.474 0.474 0.253
0.526 0.526 0.747
0.849 0.849 0.750
```

N(E_F) = 1.38 states/eV per atom

=====

Entry B
Compound: LaTb5Ho4
Source: Alexandria
Functional: PBE
Structure: relaxed

The structure in POSCAR format:
```
LaTb5Ho4
1.0
-5.110 5.110 3.145
5.110 -5.110 3.145
5.110 5.110 -3.145
La Tb Ho
1 5 4
Direct
0.000 0.000 0.000
0.040 0.128 0.620
0.128 0.508 0.088
0.420 0.040 0.912
0.508 0.420 0.380
0.542 0.542 0.000
0.118 0.818 0.401
0.417 0.717 0.599
0.717 0.118 0.300
0.818 0.417 0.700
```

N(E_F) = 1.43 states/eV per atom

=====

Stability summary: most stable entry A, least stable entry B.